Here is LiLaSi after structural relaxation from Alexandria via LeMat-Bulk. Energies are from PBE-GGA.

Calculated values
Raw formation energy: 0.34 eV/f.u.

Unit cell a=3.2763 b=3.2763 c=7.8106 alpha=90.00 beta=90.00 gamma=120.00
Last column: nearest neighbours and their distance in Å.
Element x y z (fractional)
Li: 0.0000 0.0000 0.0000  3 Si 2.72
La: 0.3333 0.6667 0.5645  3 Si 3.09, 6 La 3.28
Si: 0.6667 0.3333 0.2510  3 Li 2.72

---

Here is Li4LaSi4 after structural relaxation from Alexandria via LeMat-Bulk. Energies are from PBE-GGA.

Calculated values
Raw formation energy: -2.34 eV/f.u.

Unit cell a=6.0952 b=6.0952 c=8.5956 alpha=90.00 beta=90.00 gamma=90.00
Last column: nearest neighbours and their distance in Å.
Element x y z (fractional)
Li: 0.9999 0.2500 0.1448  5 Si 2.55-2.59, 2 Li 2.81
Li: 0.0001 0.7500 0.8552  5 Si 2.55-2.59, 2 Li 2.81
Li: 0.2500 0.9999 0.6448  5 Si 2.55-2.59, 2 Li 2.81
Li: 0.2500 0.5001 0.6448  5 Si 2.55-2.59, 2 Li 2.81
Li: 0.5001 0.2500 0.1448  5 Si 2.55-2.59, 2 Li 2.81
Li: 0.4999 0.7500 0.8552  5 Si 2.55-2.59, 2 Li 2.81
Li: 0.7500 0.0001 0.3552  5 Si 2.55-2.59, 2 Li 2.81
Li: 0.7500 0.4999 0.3552  5 Si 2.55-2.59, 2 Li 2.81
La: 0.2500 0.7500 0.2500  4 Si 3.26, 8 Li 3.53
La: 0.7500 0.2500 0.7500  4 Si 3.26, 8 Li 3.53
Si: 0.0629 0.2500 0.4426  1 Si 2.28
Si: 0.2500 0.0629 0.9426  1 Si 2.28
Si: 0.2500 0.4371 0.9426  1 Si 2.28
Si: 0.4371 0.2500 0.4426  1 Si 2.28
Si: 0.5629 0.7500 0.5574  1 Si 2.28
Si: 0.7500 0.5629 0.0574  1 Si 2.28
Si: 0.7500 0.9371 0.0574  1 Si 2.28
Si: 0.9371 0.7500 0.5574  1 Si 2.28

---

Here is Li3LaSi after structural relaxation from Alexandria via LeMat-Bulk. Energies are from PBE-GGA.

Calculated values
Raw formation energy: 6.90 eV/f.u.
Excess energy over the best structure of this formula in the dataset: 1.4051 eV/atom

Unit cell a=5.2970 b=5.2970 c=5.2970 alpha=90.00 beta=90.00 gamma=90.00
Last column: nearest neighbours and their distance in Å.
Element x y z (fractional)
Li: 0.0000 0.0000 0.5000  2 La 2.65
Li: 0.0000 0.5000 0.0000  2 La 2.65
Li: 0.5000 0.0000 0.0000  2 La 2.65
La: 0.0000 0.0000 0.0000  6 Li 2.65
Si: 0.5000 0.5000 0.5000  12 Li 3.75

---

Here is LiLa2Si after structural relaxation from Alexandria via LeMat-Bulk. Energies are from PBE-GGA.

Calculated values
Raw formation energy: -1.22 eV/f.u.

Unit cell a=6.0646 b=6.0646 c=6.0646 alpha=140.82 beta=133.94 gamma=62.03
Last column: nearest neighbours and their distance in Å.
Element x y z (fractional)
Li: 0.0000 0.0000 0.0000  2 Si 2.62
La: 0.2898 0.7898 0.5000  4 Si 3.17, 2 Li 3.23, 2 La 3.28
La: 0.5725 0.5725 0.0000  4 Li 3.21, 4 La 3.28-3.57, 4 Si 3.37-3.46
Si: 0.8418 0.3418 0.5000  2 Li 2.62

---

Here is LiLaSi after structural relaxation from Alexandria via LeMat-Bulk. Energies are from PBE-GGA.

Calculated values
Raw formation energy: -1.35 eV/f.u.

Unit cell a=4.5087 b=4.5087 c=3.8964 alpha=90.00 beta=90.00 gamma=120.00
Last column: nearest neighbours and their distance in Å.
Element x y z (fractional)
Li: 0.0000 0.0000 0.0000  3 Si 2.60
La: 0.6667 0.3333 0.5000  6 Li 3.25, 6 Si 3.25
Si: 0.3333 0.6667 0.0000  3 Li 2.60

---

Here is LiLaSi after structural relaxation from Alexandria via LeMat-Bulk. Energies are from PBE-GGA.

Calculated values
Raw formation energy: -0.57 eV/f.u.

Unit cell a=5.1690 b=5.1690 c=5.1690 alpha=139.39 beta=128.09 gamma=67.91
Last column: nearest neighbours and their distance in Å.
Element x y z (fractional)
Li: 0.0000 0.0000 0.0000  1 Si 2.72, 1 La 2.83
La: 0.6697 0.6697 0.0000  1 Li 2.83, 5 Si 3.02-3.15
Si: 0.3174 0.3174 0.0000  1 Li 2.72, 1 La 3.02

---

Here is LiLaSi after structural relaxation from Alexandria via LeMat-Bulk. Energies are from PBE-GGA.

Calculated values
Raw formation energy: -1.26 eV/f.u.

Unit cell a=4.8614 b=4.8614 c=4.8614 alpha=60.00 beta=60.00 gamma=60.00
Last column: nearest neighbours and their distance in Å.
Element x y z (fractional)
Li: 0.0000 0.0000 0.0000  4 Si 2.98
La: 0.5000 0.5000 0.5000  4 Si 2.98
Si: 0.7500 0.7500 0.7500  4 La 2.98, 4 Li 2.98

---

Here is LiLaSi after structural relaxation from Alexandria via LeMat-Bulk. Energies are from PBE-GGA.

Calculated values
Raw formation energy: 0.33 eV/f.u.

Unit cell a=4.9078 b=4.9078 c=4.9078 alpha=60.00 beta=60.00 gamma=60.00
Last column: nearest neighbours and their distance in Å.
Element x y z (fractional)
Li: 0.0000 0.0000 0.0000  4 La 3.01
La: 0.2500 0.2500 0.2500  4 Li 3.01, 4 Si 3.01
Si: 0.5000 0.5000 0.5000  4 La 3.01